Entry 1:
A plane-wave DFT calculation with PBE was carried out for an optimized crystal structure of Ce2PrRhN4.

Values from the calculation:
Total energy = -8.20 eV per atom
N(E_F) = 10.4 states/eV/cell
Crystal system = orthorhombic
ρ = 7.88 Mg/m³
Uncorrected formation energy = -1.034 eV/atom
Size of the total moment = 0.00 μB per cell
Symmetry = Cmcm

a = 3.452 Å, b = 6.226 Å, c = 11.835 Å
α = 90.00°, β = 90.00°, γ = 106.10°
Element x y z (fractional)
1 N 0.728 0.457 0.882
2 N 0.000 0.000 0.000
3 N 0.272 0.543 0.382
4 N 0.454 0.908 0.750
5 N 0.546 0.092 0.250
6 N 0.000 0.000 0.500
7 N 0.272 0.543 0.118
8 N 0.728 0.457 0.618
9 Rh 0.849 0.698 0.750
10 Rh 0.151 0.302 0.250
11 Ce 0.370 0.740 0.947
12 Ce 0.630 0.260 0.053
13 Ce 0.630 0.260 0.447
14 Ce 0.370 0.740 0.553
15 Pr 0.890 0.779 0.250
16 Pr 0.110 0.221 0.750

Entry 2:
A plane-wave DFT calculation with PBE was carried out for an optimized crystal structure of K3Cd2Au.

Values from the calculation:
Total energy = -1.54 eV per atom
N(E_F) = 5.9 states/eV/cell
Crystal system = orthorhombic
ΔH_f (0 K) = -79 kJ/mol of formula units
ρ = 3.56 Mg/m³
Size of the total moment = 0.00 μB per cell
Symmetry = Ibam

a = 9.611 Å, b = 7.590 Å, c = 9.227 Å
α = 114.29°, β = 121.39°, γ = 90.00°
Element x y z (fractional)
1 K 0.668 0.315 0.631
2 K 0.962 0.815 0.631
3 K 0.500 0.250 0.000
4 K 0.500 0.750 0.000
5 K 0.038 0.185 0.369
6 K 0.332 0.685 0.369
7 Au 0.000 0.250 0.000
8 Au 0.000 0.750 0.000
9 Cd 0.121 0.426 0.853
10 Cd 0.879 0.574 0.147
11 Cd 0.732 0.926 0.853
12 Cd 0.268 0.074 0.147

Entry 3:
A plane-wave DFT calculation with PBE was carried out for an optimized crystal structure of Nd2SmZrP4.

Values from the calculation:
Total energy = -7.04 eV per atom
N(E_F) = 1.5 states/eV/cell
Crystal system = monoclinic
ΔH_f (0 K) = -1147 kJ/mol of formula units
ρ = 5.84 Mg/m³
Size of the total moment = 0.00 μB per cell
Symmetry = P2/m

a = 4.030 Å, b = 6.986 Å, c = 6.995 Å
α = 109.22°, β = 90.00°, γ = 90.00°
Element x y z (fractional)
1 Nd 0.000 0.500 0.500
2 Nd 0.500 0.000 0.500
3 P 0.000 0.758 0.237
4 P 0.000 0.242 0.763
5 P 0.500 0.767 0.769
6 P 0.500 0.233 0.231
7 Zr 0.000 0.000 0.000
8 Sm 0.500 0.500 0.000

Entry 4:
A plane-wave DFT calculation with PBE was carried out for an optimized crystal structure of Ho4AlCu3.

Values from the calculation:
Total energy = -4.56 eV per atom
N(E_F) = 7.8 states/eV/cell
Crystal system = orthorhombic
Offset from the most stable computed form = 1.46 kJ/mol of atoms
ΔH_f (0 K) = -207 kJ/mol of formula units
ρ = 8.29 Mg/m³
Size of the total moment = 0.00 μB per cell
Symmetry = Pmm2

a = 3.635 Å, b = 4.473 Å, c = 10.806 Å
α = 90.00°, β = 90.00°, γ = 90.00°
Element x y z (fractional)
1 Ho 0.500 0.500 0.365
2 Ho 0.500 0.000 0.638
3 Ho 0.000 0.500 0.842
4 Ho 0.000 0.000 0.155
5 Cu 0.500 0.000 0.929
6 Cu 0.000 0.500 0.570
7 Cu 0.000 0.000 0.433
8 Al 0.500 0.500 0.068